# 1
DFT (PBE-GGA) results for an optimized crystal structure of KAl2Bi2O7.

```
12
Lattice="2.8602 1.6513 8.1889 -2.8602 1.6513 8.1889 0.0000 -3.3026 8.1889" Properties=species:S:1:pos:R:3 pbc="T T T"
K 0.0000 0.0000 0.0000
Al 0.0000 0.0000 10.5289
Al 0.0000 0.0000 14.0378
Bi 0.0000 0.0000 5.4025
Bi 0.0000 0.0000 19.1642
O -1.0710 -1.3027 9.9608
O -0.5927 -1.5789 14.6059
O -0.5927 1.5789 9.9608
O 0.0000 0.0000 12.2833
O -1.0710 1.3027 14.6059
O 1.6637 -0.2762 9.9608
O 1.6637 0.2762 14.6059
```

Computed properties:
**Energy relative to the elements, uncorrected**: -1.836 eV/atom

# 2
DFT (PBE-GGA) results for an optimized crystal structure of KAlBiO2.

```
5
Lattice="4.5885 0.0000 0.0000 0.0000 4.5885 0.0000 0.0000 0.0000 5.4589" Properties=species:S:1:pos:R:3 pbc="T T T"
K 0.0000 0.0000 0.0000
Al 0.0000 0.0000 2.7294
Bi 2.2943 2.2943 2.7294
O 0.0000 2.2943 0.0000
O 2.2943 0.0000 0.0000
```

Computed properties:
**Energy relative to the elements, uncorrected**: 0.701 eV/atom

# 3
DFT (PBE-GGA) results for an optimized crystal structure of K2AlBiO4.

```
8
Lattice="-2.9546 2.9546 4.2458 2.9546 -2.9546 4.2458 2.9546 2.9546 -4.2458" Properties=species:S:1:pos:R:3 pbc="T T T"
K 0.0000 0.0000 0.0000
K 0.0000 2.9546 2.1229
Al 2.9546 0.0000 2.1229
Bi 0.0000 0.0000 4.2458
O 1.7119 -0.8820 3.0828
O 2.0726 1.2427 1.1631
O 1.2427 3.8365 -1.1631
O 0.8820 1.7119 5.4089
```

Computed properties:
**Energy relative to the elements, uncorrected**: -1.870 eV/atom

# 4
DFT (PBE-GGA) results for an optimized crystal structure of KPrAlBiO6.

```
10
Lattice="0.0000 4.0078 4.0078 4.0078 0.0000 4.0078 4.0078 4.0078 0.0000" Properties=species:S:1:pos:R:3 pbc="T T T"
K 0.0000 0.0000 0.0000
Pr 4.0078 4.0078 4.0078
Al 2.0039 2.0039 2.0039
Bi 6.0116 6.0116 6.0116
O 2.0039 2.0039 0.0925
O 2.0039 0.0925 2.0039
O 3.9152 2.0039 2.0039
O 0.0925 2.0039 2.0039
O 2.0039 3.9152 2.0039
O 2.0039 2.0039 3.9152
```

Computed properties:
**Energy relative to the elements, uncorrected**: -2.003 eV/atom

# 5
DFT (PBE-GGA) results for an optimized crystal structure of K2AlBiPd.

```
5
Lattice="6.1586 0.0000 0.0000 0.0000 6.1586 0.0000 0.0000 0.0000 4.7383" Properties=species:S:1:pos:R:3 pbc="T T T"
K 0.0000 3.0793 0.0000
K 3.0793 0.0000 0.0000
Al 0.0000 0.0000 2.3691
Bi 3.0793 3.0793 2.3691
Pd 0.0000 0.0000 0.0000
```

Computed properties:
**Distance to the lowest polymorph of the same formula**: 0 meV/atom
**ΔH_f (0 K)**: 0.506 eV/f.u.

# 6
DFT (PBE-GGA) results for an optimized crystal structure of K2AlBiPd.

```
5
Lattice="6.5226 0.0000 0.0000 0.0000 6.5226 0.0000 0.0000 0.0000 5.2670" Properties=species:S:1:pos:R:3 pbc="T T T"
K 0.0000 3.2613 0.0000
K 3.2613 0.0000 0.0000
Al 0.0000 0.0000 0.0000
Bi 0.0000 0.0000 2.6335
Pd 3.2613 3.2613 2.6335
```

Computed properties:
**Distance to the lowest polymorph of the same formula**: 451 meV/atom
**ΔH_f (0 K)**: 2.760 eV/f.u.

# 7
DFT (PBE-GGA) results for an optimized crystal structure of K2RbAlBi2.

```
12
Lattice="-4.6557 7.3722 3.7703 4.6557 -7.3722 3.7703 4.6557 7.3722 -3.7703" Properties=species:S:1:pos:R:3 pbc="T T T"
K 1.6054 2.6356 0.0000
K 6.2612 4.7366 0.0000
K -1.6054 2.6356 3.7703
K 3.0503 4.7366 3.7703
Rb 4.6557 0.0000 1.8851
Rb 0.0000 7.3722 1.8851
Al 0.0000 0.0000 1.8851
Al 0.0000 0.0000 5.6554
Bi 7.6222 1.3549 0.0000
Bi 2.9665 6.0173 0.0000
Bi 1.6892 1.3549 3.7703
Bi -2.9665 6.0173 3.7703
```

Computed properties:
**ΔH_f (0 K)**: -1.936 eV/f.u.

# 8
DFT (PBE-GGA) results for an optimized crystal structure of KRb2AlBi2.

```
12
Lattice="-4.3360 8.0065 3.7642 4.3360 -8.0065 3.7642 4.3360 8.0065 -3.7642" Properties=species:S:1:pos:R:3 pbc="T T T"
K 0.0000 0.0000 1.8821
K 0.0000 0.0000 5.6464
Rb 6.1070 2.7911 0.0000
Rb 1.7710 5.2154 0.0000
Rb 2.5649 2.7911 3.7642
Rb -1.7710 5.2154 3.7642
Al 4.3360 0.0000 1.8821
Al 0.0000 8.0065 1.8821
Bi 2.7039 1.4438 0.0000
Bi 2.7039 -1.4438 3.7642
Bi 1.6321 9.4503 0.0000
Bi 1.6321 6.5627 3.7642
```

Computed properties:
**ΔH_f (0 K)**: -1.997 eV/f.u.